## Ca3Zn (GGA-PBE)

Data for an optimized crystal structure of Ca3Zn.

## Properties
The density of states at the Fermi level comes out at 5.39 states/eV per cell. The energy above the lowest structure with this stoichiometry comes out at 331 meV per atom. The calculation puts the size of the total moment at 0.003 μB per formula unit. For the formation energy, the calculation gives 19.7 kJ/mol of atoms.

```
data_Ca3Zn
_symmetry_space_group_name_H-M 'P 1'
_symmetry_Int_Tables_number 1
_cell_length_a 5.837
_cell_length_b 5.837
_cell_length_c 5.837
_cell_angle_alpha 90.00
_cell_angle_beta 90.00
_cell_angle_gamma 90.00
loop_
_symmetry_equiv_pos_as_xyz
'x,y,z'
loop_
_atom_site_label
_atom_site_fract_x
_atom_site_fract_y
_atom_site_fract_z
Ca1 0.000 0.500 0.000
Ca2 0.500 0.000 0.000
Ca3 0.000 0.000 0.500
Zn1 0.000 0.000 0.000
```

## TbSmDyTl (GGA-PBE)

Data for an optimized crystal structure of TbSmDyTl.

## Properties
The density of states at the Fermi level comes out at 5.31 states/eV per cell. The energy above the lowest structure with this stoichiometry comes out at 0 meV per atom. The calculation puts the size of the total moment at 0.805 μB per formula unit. For the formation energy, the calculation gives -18.0 kJ/mol of atoms.

```
data_TbSmDyTl
_symmetry_space_group_name_H-M 'P 1'
_symmetry_Int_Tables_number 1
_cell_length_a 4.907
_cell_length_b 4.860
_cell_length_c 4.896
_cell_angle_alpha 90.00
_cell_angle_beta 90.00
_cell_angle_gamma 90.00
loop_
_symmetry_equiv_pos_as_xyz
'x,y,z'
loop_
_atom_site_label
_atom_site_fract_x
_atom_site_fract_y
_atom_site_fract_z
Tl1 0.000 0.500 0.500
Sm1 0.500 0.500 0.000
Tb1 0.500 0.000 0.500
Dy1 0.000 0.000 0.000
```

## La4CeCd (GGA-PBE)

Data for an optimized crystal structure of La4CeCd.

## Properties
The density of states at the Fermi level comes out at 10.07 states/eV per cell. The calculation puts the size of the total moment at 0.001 μB per formula unit. For the formation energy, the calculation gives -6.9 kJ/mol of atoms.

```
data_La4CeCd
_symmetry_space_group_name_H-M 'P 1'
_symmetry_Int_Tables_number 1
_cell_length_a 3.634
_cell_length_b 3.634
_cell_length_c 14.872
_cell_angle_alpha 90.02
_cell_angle_beta 90.02
_cell_angle_gamma 90.00
loop_
_symmetry_equiv_pos_as_xyz
'x,y,z'
loop_
_atom_site_label
_atom_site_fract_x
_atom_site_fract_y
_atom_site_fract_z
La1 0.500 0.500 0.159
La2 0.000 0.000 0.350
La3 0.000 0.000 0.650
La4 0.500 0.500 0.841
Cd1 0.500 0.500 0.500
Ce1 0.000 0.000 0.000
```

## NaZr2Ga2 (GGA-PBE)

Data for an optimized crystal structure of NaZr2Ga2.

## Properties
The density of states at the Fermi level comes out at 7.09 states/eV per cell. The energy above the lowest structure with this stoichiometry comes out at 23 meV per atom. The calculation puts the size of the total moment at 0.000 μB per formula unit. For the formation energy, the calculation gives -19.0 kJ/mol of atoms.

```
data_NaZr2Ga2
_symmetry_space_group_name_H-M 'P 1'
_symmetry_Int_Tables_number 1
_cell_length_a 8.535
_cell_length_b 8.535
_cell_length_c 2.967
_cell_angle_alpha 90.00
_cell_angle_beta 90.00
_cell_angle_gamma 90.00
loop_
_symmetry_equiv_pos_as_xyz
'x,y,z'
loop_
_atom_site_label
_atom_site_fract_x
_atom_site_fract_y
_atom_site_fract_z
Na1 0.000 0.000 0.000
Na2 0.500 0.500 0.000
Zr1 0.128 0.372 0.000
Zr2 0.628 0.128 0.000
Zr3 0.872 0.628 0.000
Zr4 0.372 0.872 0.000
Ga1 0.668 0.832 0.500
Ga2 0.832 0.332 0.500
Ga3 0.332 0.168 0.500
Ga4 0.168 0.668 0.500
```

## Na3HI (GGA-PBE)

Data for an optimized crystal structure of Na3HI.

## Properties
The density of states at the Fermi level comes out at 2.17 states/eV per cell. The energy above the lowest structure with this stoichiometry comes out at 0 meV per atom. The calculation puts the size of the total moment at 0.000 μB per formula unit.

```
data_Na3HI
_symmetry_space_group_name_H-M 'P 1'
_symmetry_Int_Tables_number 1
_cell_length_a 5.086
_cell_length_b 5.086
_cell_length_c 5.086
_cell_angle_alpha 90.00
_cell_angle_beta 90.00
_cell_angle_gamma 90.00
loop_
_symmetry_equiv_pos_as_xyz
'x,y,z'
loop_
_atom_site_label
_atom_site_fract_x
_atom_site_fract_y
_atom_site_fract_z
Na1 0.000 0.000 0.500
Na2 0.500 0.000 0.000
Na3 0.000 0.500 0.000
H1 0.000 0.000 0.000
I1 0.500 0.500 0.500
```

## Ca2CdCo (GGA-PBE)

Data for an optimized crystal structure of Ca2CdCo.

## Properties
The density of states at the Fermi level comes out at 3.56 states/eV per cell. The calculation puts the size of the total moment at 0.863 μB per formula unit. For the formation energy, the calculation gives 23.5 kJ/mol of atoms.

```
data_Ca2CdCo
_symmetry_space_group_name_H-M 'P 1'
_symmetry_Int_Tables_number 1
_cell_length_a 3.834
_cell_length_b 3.834
_cell_length_c 9.099
_cell_angle_alpha 80.87
_cell_angle_beta 80.87
_cell_angle_gamma 53.39
loop_
_symmetry_equiv_pos_as_xyz
'x,y,z'
loop_
_atom_site_label
_atom_site_fract_x
_atom_site_fract_y
_atom_site_fract_z
Ca1 0.487 0.487 0.545
Ca2 0.013 0.013 0.955
Co1 0.750 0.750 0.750
Cd1 0.250 0.250 0.250
```

## LiMg2Au (GGA-PBE)

Data for an optimized crystal structure of LiMg2Au.

## Properties
The density of states at the Fermi level comes out at 1.69 states/eV per cell. The calculation puts the size of the total moment at 0.000 μB per formula unit. For the formation energy, the calculation gives -19.9 kJ/mol of atoms.

```
data_LiMg2Au
_symmetry_space_group_name_H-M 'P 1'
_symmetry_Int_Tables_number 1
_cell_length_a 9.638
_cell_length_b 9.638
_cell_length_c 9.638
_cell_angle_alpha 18.75
_cell_angle_beta 18.75
_cell_angle_gamma 18.75
loop_
_symmetry_equiv_pos_as_xyz
'x,y,z'
loop_
_atom_site_label
_atom_site_fract_x
_atom_site_fract_y
_atom_site_fract_z
Au1 0.250 0.250 0.250
Mg1 0.506 0.506 0.506
Mg2 0.994 0.994 0.994
Li1 0.750 0.750 0.750
```

## EuGe12Pt4 (GGA-PBE)

Data for an optimized crystal structure of EuGe12Pt4.

## Properties
The density of states at the Fermi level comes out at 10.71 states/eV per cell. The calculation puts the size of the total moment at 6.643 μB per formula unit. For the formation energy, the calculation gives -36.5 kJ/mol of atoms.

```
data_EuGe12Pt4
_symmetry_space_group_name_H-M 'P 1'
_symmetry_Int_Tables_number 1
_cell_length_a 7.568
_cell_length_b 7.568
_cell_length_c 7.568
_cell_angle_alpha 109.47
_cell_angle_beta 109.47
_cell_angle_gamma 109.47
loop_
_symmetry_equiv_pos_as_xyz
'x,y,z'
loop_
_atom_site_label
_atom_site_fract_x
_atom_site_fract_y
_atom_site_fract_z
Pt1 0.500 0.500 0.500
Pt2 0.000 0.500 0.000
Pt3 0.000 0.000 0.500
Pt4 0.500 0.000 0.000
Eu1 0.000 0.000 0.000
Ge1 0.646 0.796 0.150
Ge2 0.354 0.504 0.150
Ge3 0.150 0.354 0.504
Ge4 0.496 0.850 0.646
Ge5 0.646 0.496 0.850
Ge6 0.504 0.150 0.354
Ge7 0.150 0.646 0.796
Ge8 0.850 0.646 0.496
Ge9 0.796 0.150 0.646
Ge10 0.850 0.354 0.204
Ge11 0.354 0.204 0.850
Ge12 0.204 0.850 0.354
```

## Li2Tm2Ga3 (GGA-PBE)

Data for an optimized crystal structure of Li2Tm2Ga3.

## Properties
The density of states at the Fermi level comes out at 12.79 states/eV per cell. The calculation puts the size of the total moment at 0.000 μB per formula unit. For the formation energy, the calculation gives -38.8 kJ/mol of atoms.

```
data_Li2Tm2Ga3
_symmetry_space_group_name_H-M 'P 1'
_symmetry_Int_Tables_number 1
_cell_length_a 4.211
_cell_length_b 7.002
_cell_length_c 9.641
_cell_angle_alpha 90.00
_cell_angle_beta 102.61
_cell_angle_gamma 90.00
loop_
_symmetry_equiv_pos_as_xyz
'x,y,z'
loop_
_atom_site_label
_atom_site_fract_x
_atom_site_fract_y
_atom_site_fract_z
Tm1 0.153 0.250 0.306
Tm2 0.947 0.250 0.893
Tm3 0.847 0.750 0.694
Tm4 0.053 0.750 0.107
Li1 0.311 0.060 0.622
Li2 0.689 0.560 0.378
Li3 0.689 0.940 0.378
Li4 0.311 0.440 0.622
Ga1 0.561 0.431 0.121
Ga2 0.775 0.250 0.550
Ga3 0.439 0.569 0.879
Ga4 0.439 0.931 0.879
Ga5 0.225 0.750 0.450
Ga6 0.561 0.069 0.121
```

## La2Nd4HoTh (GGA-PBE)

Data for an optimized crystal structure of La2Nd4HoTh.

## Properties
The density of states at the Fermi level comes out at 16.10 states/eV per cell. The calculation puts the size of the total moment at 0.000 μB per formula unit. For the formation energy, the calculation gives 12.2 kJ/mol of atoms.

```
data_La2Nd4HoTh
_symmetry_space_group_name_H-M 'P 1'
_symmetry_Int_Tables_number 1
_cell_length_a 6.138
_cell_length_b 6.122
_cell_length_c 9.567
_cell_angle_alpha 50.31
_cell_angle_beta 90.00
_cell_angle_gamma 90.00
loop_
_symmetry_equiv_pos_as_xyz
'x,y,z'
loop_
_atom_site_label
_atom_site_fract_x
_atom_site_fract_y
_atom_site_fract_z
Th1 0.500 0.500 0.000
Ho1 0.000 0.500 0.500
Nd1 0.000 0.745 0.756
Nd2 0.500 0.244 0.755
Nd3 0.000 0.255 0.244
Nd4 0.500 0.756 0.245
La1 0.000 0.000 0.000
La2 0.500 0.000 0.500
```

## Y6InSi2 (GGA-PBE)

Data for an optimized crystal structure of Y6InSi2.

## Properties
The density of states at the Fermi level comes out at 15.56 states/eV per cell. Its raw formation energy is -567 meV per atom. The calculation puts the size of the total moment at 0.001 μB per formula unit.

```
data_Y6InSi2
_symmetry_space_group_name_H-M 'P 1'
_symmetry_Int_Tables_number 1
_cell_length_a 8.542
_cell_length_b 8.542
_cell_length_c 8.542
_cell_angle_alpha 105.38
_cell_angle_beta 110.94
_cell_angle_gamma 112.17
loop_
_symmetry_equiv_pos_as_xyz
'x,y,z'
loop_
_atom_site_label
_atom_site_fract_x
_atom_site_fract_y
_atom_site_fract_z
Y1 0.797 0.759 0.556
Y2 0.907 0.723 0.184
Y3 0.203 0.759 0.963
Y4 0.702 0.023 0.320
Y5 0.539 0.723 0.816
Y6 0.702 0.382 0.680
Y7 0.093 0.277 0.816
Y8 0.797 0.241 0.037
Y9 0.461 0.277 0.184
Y10 0.298 0.977 0.680
Y11 0.298 0.618 0.320
Y12 0.203 0.241 0.444
Si1 0.367 0.000 0.367
Si2 0.633 0.000 0.633
Si3 0.500 0.616 0.116
Si4 0.500 0.384 0.884
In1 0.000 0.000 0.000
In2 0.000 0.500 0.500
```

## Pr2Cd3Ag5 (GGA-PBE)

Data for an optimized crystal structure of Pr2Cd3Ag5.

## Properties
The density of states at the Fermi level comes out at 12.59 states/eV per cell. The calculation puts the size of the total moment at 0.000 μB per formula unit. For the formation energy, the calculation gives -14.5 kJ/mol of atoms.

```
data_Pr2Cd3Ag5
_symmetry_space_group_name_H-M 'P 1'
_symmetry_Int_Tables_number 1
_cell_length_a 5.997
_cell_length_b 9.385
_cell_length_c 9.385
_cell_angle_alpha 88.65
_cell_angle_beta 71.37
_cell_angle_gamma 71.37
loop_
_symmetry_equiv_pos_as_xyz
'x,y,z'
loop_
_atom_site_label
_atom_site_fract_x
_atom_site_fract_y
_atom_site_fract_z
Ag1 0.628 0.723 0.020
Ag2 0.498 0.752 0.752
Ag3 0.250 0.500 0.500
Ag4 0.002 0.248 0.248
Ag5 0.372 0.277 0.980
Ag6 0.128 0.020 0.723
Ag7 0.998 0.752 0.752
Ag8 0.872 0.980 0.277
Ag9 0.750 0.500 0.500
Ag10 0.502 0.248 0.248
Pr1 0.123 0.630 0.123
Pr2 0.877 0.370 0.877
Pr3 0.377 0.877 0.370
Pr4 0.623 0.123 0.630
Cd1 0.876 0.765 0.483
Cd2 0.624 0.517 0.235
Cd3 0.750 0.000 0.000
Cd4 0.250 0.000 0.000
Cd5 0.376 0.483 0.765
Cd6 0.124 0.235 0.517
```